1.
# Cs2Hg4Pt PBE-GGA optimized geometry
# total magnetic moment	0.00	μB/cell
# DFT formation energy	-0.27	eV per atom
data_Cs2Hg4Pt
_chemical_formula_sum 'Cs2 Hg4 Pt1'
_symmetry_space_group_name_H-M 'P 1'
_symmetry_Int_Tables_number 1
_cell_length_a 10.229
_cell_length_b 10.229
_cell_length_c 10.229
_cell_angle_alpha 149.06
_cell_angle_beta 149.06
_cell_angle_gamma 44.33
loop_
_symmetry_equiv_pos_as_xyz
'x,y,z'
loop_
_atom_site_label
_atom_site_fract_x
_atom_site_fract_y
_atom_site_fract_z
Cs1 0.146 0.146 0.000
Cs2 0.854 0.854 0.000
Hg1 0.000 0.500 0.500
Hg2 0.354 0.354 0.000
Hg3 0.500 0.000 0.500
Hg4 0.646 0.646 0.000
Pt1 0.500 0.500 0.000

=====

2.
# NdSmRuPt PBE-GGA optimized geometry
# total magnetic moment	0.00	μB/cell
# DFT formation energy	-0.59	eV per atom
data_NdSmRuPt
_chemical_formula_sum 'Nd1 Sm1 Ru1 Pt1'
_symmetry_space_group_name_H-M 'P 1'
_symmetry_Int_Tables_number 1
_cell_length_a 5.008
_cell_length_b 5.008
_cell_length_c 5.008
_cell_angle_alpha 60.00
_cell_angle_beta 60.00
_cell_angle_gamma 60.00
loop_
_symmetry_equiv_pos_as_xyz
'x,y,z'
loop_
_atom_site_label
_atom_site_fract_x
_atom_site_fract_y
_atom_site_fract_z
Nd1 0.000 0.000 0.000
Sm1 0.500 0.500 0.500
Ru1 0.750 0.750 0.750
Pt1 0.250 0.250 0.250

=====

3.
# BaPO2F PBE-GGA optimized geometry
# total magnetic moment	1.84	μB/cell
# energy relative to the elements, uncorrected	-0.1192	eV/atom
data_BaPO2F
_chemical_formula_sum 'Ba1 P1 O2 F1'
_symmetry_space_group_name_H-M 'P 1'
_symmetry_Int_Tables_number 1
_cell_length_a 4.952
_cell_length_b 4.952
_cell_length_c 4.872
_cell_angle_alpha 90.00
_cell_angle_beta 90.00
_cell_angle_gamma 90.00
loop_
_symmetry_equiv_pos_as_xyz
'x,y,z'
loop_
_atom_site_label
_atom_site_fract_x
_atom_site_fract_y
_atom_site_fract_z
Ba1 0.000 0.000 0.000
P1 0.500 0.500 0.500
O1 0.000 0.500 0.000
O2 0.500 0.000 0.000
F1 0.000 0.000 0.500

=====

4.
# CdInPt4 PBE-GGA optimized geometry
# total magnetic moment	0.00	μB/cell
# DFT formation energy	-0.13	eV per atom
data_CdInPt4
_chemical_formula_sum 'Cd1 In1 Pt4'
_symmetry_space_group_name_H-M 'P 1'
_symmetry_Int_Tables_number 1
_cell_length_a 3.820
_cell_length_b 3.820
_cell_length_c 8.289
_cell_angle_alpha 90.00
_cell_angle_beta 90.00
_cell_angle_gamma 90.00
loop_
_symmetry_equiv_pos_as_xyz
'x,y,z'
loop_
_atom_site_label
_atom_site_fract_x
_atom_site_fract_y
_atom_site_fract_z
Cd1 0.000 0.000 0.000
In1 0.500 0.500 0.500
Pt1 0.000 0.500 0.256
Pt2 0.000 0.500 0.744
Pt3 0.500 0.000 0.256
Pt4 0.500 0.000 0.744

=====

5.
# Y2HfCoHg PBE-GGA optimized geometry
# total magnetic moment	2.08	μB/cell
# DFT formation energy	1.24	eV per atom
data_Y2HfCoHg
_chemical_formula_sum 'Y2 Hf1 Co1 Hg1'
_symmetry_space_group_name_H-M 'P 1'
_symmetry_Int_Tables_number 1
_cell_length_a 5.515
_cell_length_b 5.515
_cell_length_c 5.265
_cell_angle_alpha 90.00
_cell_angle_beta 90.00
_cell_angle_gamma 90.00
loop_
_symmetry_equiv_pos_as_xyz
'x,y,z'
loop_
_atom_site_label
_atom_site_fract_x
_atom_site_fract_y
_atom_site_fract_z
Y1 0.000 0.500 0.000
Y2 0.500 0.000 0.000
Hf1 0.000 0.000 0.000
Co1 0.500 0.500 0.500
Hg1 0.000 0.000 0.500

=====

6.
# ErTiPdPt PBE-GGA optimized geometry
# total magnetic moment	0.00	μB/cell
# DFT formation energy	-0.79	eV per atom
data_ErTiPdPt
_chemical_formula_sum 'Er1 Ti1 Pd1 Pt1'
_symmetry_space_group_name_H-M 'P 1'
_symmetry_Int_Tables_number 1
_cell_length_a 4.702
_cell_length_b 4.702
_cell_length_c 4.702
_cell_angle_alpha 60.00
_cell_angle_beta 60.00
_cell_angle_gamma 60.00
loop_
_symmetry_equiv_pos_as_xyz
'x,y,z'
loop_
_atom_site_label
_atom_site_fract_x
_atom_site_fract_y
_atom_site_fract_z
Er1 0.000 0.000 0.000
Ti1 0.500 0.500 0.500
Pd1 0.250 0.250 0.250
Pt1 0.750 0.750 0.750